No. 1
Density functional theory data (PBE) for an optimized crystal structure of TbTm2Ga.

POSCAR file:
```
TbTm2Ga
1.0
1.7251 0.9960 11.1875
-1.7251 0.9960 11.1875
0.0000 -1.9920 11.1875
Tb Tm Ga
1 2 1
direct
0.0000 0.0000 0.0000 Tb
0.1022 0.1022 0.1022 Tm
0.8978 0.8978 0.8978 Tm
0.5000 0.5000 0.5000 Ga
```

Calculated total energy   -4.146 eV/atom
M_tot   0.59 μB/cell
Relative energy among the computed polymorphs   0.293 eV/atom

***

No. 2
Density functional theory data (PBE) for an optimized crystal structure of Tb2TmGa9.

POSCAR file:
```
Tb2TmGa9
1.0
4.2688 0.0000 0.0000
0.0000 4.2688 0.0000
0.0000 0.0000 12.8002
Tb Tm Ga
2 1 9
direct
0.0000 0.0000 0.1677 Tb
0.0000 0.0000 0.8323 Tb
0.0000 0.0000 0.5000 Tm
0.0000 0.5000 0.0000 Ga
0.0000 0.5000 0.3356 Ga
0.0000 0.5000 0.6644 Ga
0.5000 0.0000 0.0000 Ga
0.5000 0.0000 0.3356 Ga
0.5000 0.0000 0.6644 Ga
0.5000 0.5000 0.1664 Ga
0.5000 0.5000 0.5000 Ga
0.5000 0.5000 0.8336 Ga
```

Calculated total energy   -3.947 eV/atom
M_tot   0.00 μB/cell

***

No. 3
Density functional theory data (PBE) for an optimized crystal structure of TbTm2Ga2.

POSCAR file:
```
TbTm2Ga2
1.0
5.6491 0.0000 0.0000
0.0000 3.9992 0.0000
-1.5810 0.0000 11.7365
Tb Tm Ga
2 4 4
direct
0.0506 0.2500 0.2868 Tb
0.9494 0.7500 0.7132 Tb
0.2606 0.7500 0.0538 Tm
0.4116 0.2500 0.6280 Tm
0.5884 0.7500 0.3720 Tm
0.7394 0.2500 0.9462 Tm
0.1416 0.7500 0.4799 Ga
0.2153 0.2500 0.8636 Ga
0.7847 0.7500 0.1364 Ga
0.8584 0.2500 0.5201 Ga
```

Calculated total energy   -4.279 eV/atom
M_tot   0.00 μB/cell
Relative energy among the computed polymorphs   0.142 eV/atom

***

No. 4
Density functional theory data (PBE) for an optimized crystal structure of TbTm3Ga4.

POSCAR file:
```
TbTm3Ga4
1.0
-1.7580 3.3589 8.2174
1.7580 -3.3589 8.2174
1.7580 3.3589 -8.2174
Tb Tm Ga
1 3 4
direct
0.0000 0.0000 0.0000 Tb
0.2026 0.7026 0.5000 Tm
0.5000 0.5000 0.0000 Tm
0.7974 0.2974 0.5000 Tm
0.1774 0.8695 0.3080 Ga
0.4385 0.1305 0.3080 Ga
0.5615 0.8695 0.6920 Ga
0.8226 0.1305 0.6920 Ga
```

Calculated total energy   -4.223 eV/atom
M_tot   0.00 μB/cell
Relative energy among the computed polymorphs   0.118 eV/atom

***

No. 5
Density functional theory data (PBE) for an optimized crystal structure of Tb3TmGa12.

POSCAR file:
```
Tb3TmGa12
1.0
4.2736 0.0000 0.0000
0.0000 4.2736 0.0000
0.0000 0.0000 17.1411
Tb Tm Ga
3 1 12
direct
0.0000 0.0000 0.0000 Tb
0.0000 0.0000 0.2517 Tb
0.0000 0.0000 0.7483 Tb
0.0000 0.0000 0.5000 Tm
0.0000 0.5000 0.1258 Ga
0.0000 0.5000 0.3772 Ga
0.0000 0.5000 0.6228 Ga
0.0000 0.5000 0.8742 Ga
0.5000 0.0000 0.1258 Ga
0.5000 0.0000 0.3772 Ga
0.5000 0.0000 0.6228 Ga
0.5000 0.0000 0.8742 Ga
0.5000 0.5000 0.0000 Ga
0.5000 0.5000 0.2500 Ga
0.5000 0.5000 0.5000 Ga
0.5000 0.5000 0.7500 Ga
```

Calculated total energy   -3.947 eV/atom
M_tot   0.00 μB/cell

***

No. 6
Density functional theory data (PBE) for an optimized crystal structure of TbTm3Ga2.

POSCAR file:
```
TbTm3Ga2
1.0
7.8868 -2.5140 0.0000
7.8868 2.5140 0.0000
-4.1067 0.0000 7.7566
Tb Tm Ga
2 6 4
direct
0.1304 0.1304 0.1883 Tb
0.8696 0.8696 0.8117 Tb
0.0622 0.0622 0.7172 Tm
0.3127 0.3127 0.0103 Tm
0.3797 0.3797 0.4871 Tm
0.6203 0.6203 0.5129 Tm
0.6872 0.6872 0.9897 Tm
0.9378 0.9378 0.2828 Tm
0.2267 0.2267 0.6148 Ga
0.4843 0.4843 0.8475 Ga
0.5157 0.5157 0.1525 Ga
0.7733 0.7733 0.3852 Ga
```

Calculated total energy   -4.348 eV/atom
M_tot   0.00 μB/cell
Relative energy among the computed polymorphs   0.101 eV/atom

***

No. 7
Density functional theory data (PBE) for an optimized crystal structure of TbTm2Ga6.

POSCAR file:
```
TbTm2Ga6
1.0
-2.1379 3.4703 6.6166
2.1379 -3.4703 6.6166
2.1379 3.4703 -6.6166
Tb Tm Ga
1 2 6
direct
0.0000 0.0000 0.0000 Tb
0.3753 0.8753 0.5000 Tm
0.6247 0.1247 0.5000 Tm
0.0080 0.3140 0.6939 Ga
0.3115 0.5000 0.8115 Ga
0.3799 0.6860 0.6939 Ga
0.6201 0.3140 0.3061 Ga
0.6885 0.5000 0.1885 Ga
0.9920 0.6860 0.3061 Ga
```

Calculated total energy   -3.994 eV/atom
M_tot   0.00 μB/cell
Relative energy among the computed polymorphs   0.141 eV/atom

***

No. 8
Density functional theory data (PBE) for an optimized crystal structure of TbTm2Ga4.

POSCAR file:
```
TbTm2Ga4
1.0
-2.0542 2.1087 9.0296
2.0542 -2.1087 9.0296
2.0542 2.1087 -9.0296
Tb Tm Ga
1 2 4
direct
0.0000 0.0000 0.0000 Tb
0.1853 0.6853 0.5000 Tm
0.8147 0.3147 0.5000 Tm
0.3517 0.8517 0.5000 Ga
0.4324 0.4324 0.0000 Ga
0.5676 0.5676 0.0000 Ga
0.6483 0.1483 0.5000 Ga
```

Calculated total energy   -4.300 eV/atom
M_tot   0.00 μB/cell

***

no.,energy of formation (eV per atom)
1,0.004
2,-0.533
3,-0.353
4,-0.454
5,-0.529
6,-0.331
7,-0.468
8,-0.631